No. 1
Entry from Alexandria via LeMat-Bulk: a geometry-optimized Ag2H2Br2O structure (PBE).

## Properties
SG: C2/m

a b c (Å): 4.0776 4.9067 8.0926
angles (deg): 72.63 75.41 65.45
Fractional positions:
1 O 0.0000 0.0000 0.0000
2 Br 0.2024 0.2949 0.3002
3 H 0.1116 0.8390 0.9378
4 H 0.8884 0.1610 0.0622
5 Ag 0.5046 0.3049 0.6858
6 Br 0.7976 0.7051 0.6998
7 Ag 0.4954 0.6951 0.3142

No. 2
Entry from Alexandria via LeMat-Bulk: a geometry-optimized AgH2BrO structure (PBE).

## Properties
SG: Cmcm

a b c (Å): 3.8731 5.1171 8.7049
angles (deg): 90.00 90.00 112.24
Fractional positions:
1 H 0.9111 0.8223 0.4475
2 Ag 0.5822 0.1643 0.2500
3 Br 0.7067 0.4134 0.7500
4 Br 0.2933 0.5866 0.2500
5 H 0.9111 0.8223 0.0525
6 Ag 0.4178 0.8357 0.7500
7 O 0.0000 0.0000 0.5000
8 H 0.0889 0.1777 0.9475
9 O 0.0000 0.0000 0.0000
10 H 0.0889 0.1777 0.5525

No. 3
Entry from Alexandria via LeMat-Bulk: a geometry-optimized Ag3H4Br3O2 structure (PBE).

## Properties
SG: Imm2

a b c (Å): 4.9052 5.4519 10.0283
angles (deg): 105.77 104.16 90.00
Fractional positions:
1 Ag 0.8491 0.3553 0.7107
2 Ag 0.9131 0.0000 0.0000
3 O 0.9679 0.8735 0.7470
4 Br 0.6913 0.6989 0.3978
5 H 0.1568 0.8655 0.7309
6 Br 0.8332 0.5000 0.0000
7 H 0.8430 0.8241 0.6482
8 H 0.4259 0.1345 0.2691
9 Br 0.2935 0.3011 0.6022
10 H 0.1947 0.1759 0.3518
11 Ag 0.1384 0.6447 0.2893
12 O 0.2209 0.1265 0.2530

No. 4
Entry from Alexandria via LeMat-Bulk: a geometry-optimized AgH2Br2O structure (PBE).

## Properties
N(E_F) in states/eV per atom: 0.6269
SG: Cmc2_1

a b c (Å): 8.8059 6.9281 5.4282
angles (deg): 129.65 90.00 90.00
Fractional positions:
1 Br 0.5184 0.6406 0.3900
2 Ag 0.0198 0.0623 0.0000
3 H 0.3139 0.3166 0.1861
4 H 0.8139 0.6834 0.8139
5 O 0.2888 0.1409 0.0000
6 Br 0.0184 0.3594 0.6100
7 Br 0.5184 0.2506 0.6100
8 H 0.8139 0.8695 0.1861
9 O 0.7888 0.8591 0.0000
10 H 0.3139 0.1305 0.8139
11 Ag 0.5198 0.9377 0.0000
12 Br 0.0184 0.7494 0.3900

No. 5
Entry from Alexandria via LeMat-Bulk: a geometry-optimized AgHPd2Br structure (PBE).

## Properties
N(E_F) in states/eV per atom: 0.5699
SG: P4/mmm

a b c (Å): 4.0982 4.0982 4.4636
angles (deg): 90.00 90.00 90.00
Fractional positions:
1 H 0.0000 0.0000 0.0000
2 Pd 0.0000 0.5000 0.0000
3 Br 0.5000 0.5000 0.5000
4 Pd 0.5000 0.0000 0.0000
5 Ag 0.0000 0.0000 0.5000

No. 6
Entry from Alexandria via LeMat-Bulk: a geometry-optimized RbAgH2Br4 structure (PBE).

## Properties
N(E_F) in states/eV per atom: 0.0000
SG: I222

a b c (Å): 6.3056 6.8946 6.8946
angles (deg): 74.54 62.79 62.79
Fractional positions:
1 H 0.1791 0.3209 0.3209
2 Br 0.9824 0.4496 0.1772
3 Br 0.6091 0.5504 0.8228
4 Rb 0.0000 0.0000 0.0000
5 H 0.8209 0.6791 0.6791
6 Br 0.0176 0.8228 0.5504
7 Br 0.3909 0.1772 0.4496
8 Ag 0.5000 0.5000 0.5000

Record order is preserved below.
Calculated total energy: -23.26; -36.41; -43.72; -41.49; -17.50; -22.43 eV/cell